[1]
Ce3PrGa2: relaxed, GGA-PBE.

abc: 4.578 9.422 7.992
angles: 115.33 90.00 104.06
Positions (direct):
1 Ce 0.297 0.595 0.566
2 Ce 0.936 0.871 0.540
3 Ce 0.630 0.259 0.689
4 Ce 0.370 0.741 0.311
5 Ce 0.064 0.129 0.460
6 Ce 0.703 0.405 0.434
7 Pr 0.887 0.774 0.957
8 Pr 0.113 0.226 0.043
9 Ga 0.485 0.970 0.818
10 Ga 0.515 0.030 0.182
11 Ga 0.751 0.502 0.115
12 Ga 0.249 0.498 0.885

Space group: No. 12

[2]
Ce4PrGa3: relaxed, GGA-PBE.

abc: 4.508 4.694 11.765
angles: 125.58 101.05 90.00
Positions (direct):
1 Ce 0.637 0.861 0.275
2 Ce 0.363 0.139 0.725
3 Ce 0.862 0.524 0.724
4 Ce 0.138 0.476 0.276
5 Pr 0.500 0.000 0.000
6 Ga 0.000 0.500 0.000
7 Ga 0.250 0.310 0.501
8 Ga 0.750 0.690 0.499

Space group: No. 12

[3]
CePr6Ga3: relaxed, GGA-PBE.

abc: 7.359 9.428 9.428
angles: 110.27 90.00 90.00
Positions (direct):
1 Ce 0.086 0.181 0.819
2 Ce 0.586 0.819 0.181
3 Pr 0.118 0.752 0.681
4 Pr 0.618 0.681 0.752
5 Pr 0.262 0.515 0.908
6 Pr 0.762 0.908 0.515
7 Pr 0.286 0.956 0.044
8 Pr 0.650 0.287 0.713
9 Pr 0.150 0.713 0.287
10 Pr 0.786 0.044 0.956
11 Pr 0.262 0.092 0.485
12 Pr 0.762 0.485 0.092
13 Pr 0.118 0.319 0.248
14 Pr 0.618 0.248 0.319
15 Ga 0.435 0.997 0.742
16 Ga 0.935 0.742 0.997
17 Ga 0.332 0.435 0.565
18 Ga 0.832 0.565 0.435
19 Ga 0.935 0.003 0.258
20 Ga 0.435 0.258 0.003

Space group: No. 36

[4]
CePrGa: relaxed, GGA-PBE.

abc: 7.294 7.294 7.294
angles: 90.00 90.00 90.00
Positions (direct):
1 Ga 0.744 0.744 0.744
2 Ga 0.756 0.256 0.244
3 Ga 0.244 0.756 0.256
4 Ga 0.256 0.244 0.756
5 Pr 0.412 0.412 0.412
6 Pr 0.088 0.588 0.912
7 Pr 0.912 0.088 0.588
8 Pr 0.588 0.912 0.088
9 Ce 0.093 0.093 0.093
10 Ce 0.407 0.907 0.593
11 Ce 0.593 0.407 0.907
12 Ce 0.907 0.593 0.407

Space group: No. 198
ΔE to the lowest computed polymorph, eV/atom: 0.3081

[5]
CePr5Ga4: relaxed, GGA-PBE.

abc: 4.393 7.945 9.138
angles: 97.40 103.91 90.00
Positions (direct):
1 Ce 0.500 0.000 0.000
2 Pr 0.801 0.701 0.603
3 Pr 0.861 0.251 0.723
4 Pr 0.139 0.749 0.277
5 Pr 0.500 0.500 0.000
6 Pr 0.199 0.299 0.397
7 Ga 0.299 0.985 0.598
8 Ga 0.966 0.739 0.932
9 Ga 0.701 0.015 0.402
10 Ga 0.034 0.261 0.068

Space group: No. 12

[6]
Ce3Pr2Ga4: relaxed, GGA-PBE.

abc: 7.711 8.075 8.101
angles: 90.00 90.00 107.37
Positions (direct):
1 Ce 0.000 0.500 0.500
2 Ce 0.500 0.500 0.000
3 Ce 0.747 0.244 0.824
4 Ce 0.753 0.756 0.324
5 Ce 0.253 0.756 0.176
6 Ce 0.247 0.244 0.676
7 Pr 0.571 0.190 0.323
8 Pr 0.929 0.810 0.823
9 Pr 0.429 0.810 0.677
10 Pr 0.071 0.190 0.177
11 Ga 0.867 0.079 0.535
12 Ga 0.633 0.921 0.035
13 Ga 0.133 0.921 0.465
14 Ga 0.367 0.079 0.965
15 Ga 0.878 0.492 0.121
16 Ga 0.622 0.508 0.621
17 Ga 0.122 0.508 0.879
18 Ga 0.378 0.492 0.379

Space group: No. 14

[7]
CePr2Ga: relaxed, GGA-PBE.

abc: 5.409 5.409 5.409
angles: 60.00 60.00 60.00
Positions (direct):
1 Pr 0.250 0.250 0.250
2 Pr 0.750 0.750 0.750
3 Ga 0.500 0.500 0.500
4 Ce 0.000 0.000 0.000

Space group: No. 225
ΔE to the lowest computed polymorph, eV/atom: 0.1607

[8]
CePrGa: relaxed, GGA-PBE.

abc: 4.023 4.023 5.626
angles: 110.95 110.95 90.00
Positions (direct):
1 Pr 0.012 0.012 0.024
2 Ga 0.669 0.669 0.338
3 Ce 0.319 0.319 0.638

Space group: No. 107
ΔE to the lowest computed polymorph, eV/atom: 0.1233

[9]
CePrGa: relaxed, GGA-PBE.

abc: 5.001 5.928 6.590
angles: 110.36 90.00 114.95
Positions (direct):
1 Ce 0.541 0.083 0.322
2 Ce 0.459 0.917 0.678
3 Pr 0.814 0.628 0.852
4 Pr 0.186 0.372 0.148
5 Ga 0.868 0.736 0.368
6 Ga 0.132 0.264 0.632

Space group: No. 12
ΔE to the lowest computed polymorph, eV/atom: 0.0816

[10]
Ce2PrGa2: relaxed, GGA-PBE.

abc: 4.367 6.148 10.361
angles: 109.43 90.00 90.00
Positions (direct):
1 Ce 0.250 0.768 0.827
2 Ce 0.750 0.232 0.173
3 Ce 0.250 0.431 0.560
4 Ce 0.750 0.569 0.440
5 Pr 0.250 0.790 0.236
6 Pr 0.750 0.210 0.764
7 Ga 0.250 0.929 0.562
8 Ga 0.750 0.071 0.438
9 Ga 0.250 0.342 0.988
10 Ga 0.750 0.658 0.012

Space group: No. 11

no.,DFT formation energy (eV/atom),M_tot (μB per cell)
1,-0.36,0.07
2,-0.34,1.42
3,-0.20,0.14
4,-0.08,4.60
5,-0.25,0.87
6,-0.45,3.83
7,-0.04,0.00
8,-0.26,0.22
9,-0.31,1.33
10,-0.33,2.84